[1]
Compound: YOs5
Source: Alexandria
Functional: PBE-GGA
Structure: optimized geometry

Structure (POSCAR):
```
YOs5
1.0
1.408 5.177 -0.010
-1.408 5.177 -0.010
0.000 1.709 6.562
Os Y
5 1
direct
0.018 0.018 0.997
0.656 0.656 0.646
0.595 0.595 0.292
0.330 0.330 0.352
0.948 0.948 0.598
0.286 0.286 0.948
```

***

[2]
Compound: YOs2
Source: Alexandria
Functional: PBE-GGA
Structure: optimized geometry

Structure (POSCAR):
```
YOs2
1.0
-3.872 0.106 2.674
0.497 -3.328 -3.292
2.499 -3.336 3.750
Os Y
4 2
direct
0.667 0.333 0.750
0.333 0.667 0.250
0.000 0.000 0.500
0.000 0.000 0.000
0.333 0.667 0.750
0.667 0.333 0.250
```

***

[3]
Compound: Y4Zn2Os
Source: Alexandria
Functional: PBE-GGA
Structure: optimized geometry

Structure (POSCAR):
```
Y4Zn2Os
1.0
-2.293 3.896 -2.083
-3.905 2.093 2.268
2.860 6.975 3.950
Zn Y Os
2 4 1
direct
0.750 0.750 0.751
0.250 0.250 0.249
0.878 0.878 0.365
0.374 0.374 0.879
0.626 0.626 0.121
0.122 0.122 0.635
0.000 0.000 0.000
```

***

[4]
Compound: Y4ZnOs
Source: Alexandria
Functional: PBE-GGA
Structure: optimized geometry

Structure (POSCAR):
```
Y4ZnOs
1.0
1.726 -2.852 4.950
2.018 3.103 4.682
-3.287 0.385 4.966
Y Zn Os
4 1 1
direct
0.373 0.373 0.373
0.373 0.880 0.373
0.880 0.373 0.373
0.373 0.373 0.880
0.750 0.750 0.750
0.000 0.000 0.000
```

For the energy above the lowest structure with this stoichiometry, the calculation gives 1100 meV per atom.

***

[5]
Compound: Y2ZnOs
Source: Alexandria
Functional: PBE-GGA
Structure: optimized geometry

Structure (POSCAR):
```
Y2ZnOs
1.0
5.807 -3.654 -4.722
-3.198 6.070 4.722
-4.009 1.712 7.097
Os Zn Y
1 1 2
direct
0.000 0.500 0.500
0.000 0.000 0.000
0.000 0.664 0.664
0.000 0.336 0.336
```

***

[6]
Compound: Y2ZnOs
Source: Alexandria
Functional: PBE-GGA
Structure: optimized geometry

Structure (POSCAR):
```
Y2ZnOs
1.0
-5.792 -6.025 3.899
-4.553 -7.924 1.235
-2.750 -7.721 4.227
Y Os Zn
2 1 1
direct
0.978 0.978 0.978
0.767 0.767 0.767
0.240 0.240 0.240
0.515 0.515 0.515
```

***

[7]
Compound: Y2ZnOs
Source: Alexandria
Functional: PBE-GGA
Structure: optimized geometry

Structure (POSCAR):
```
Y2ZnOs
1.0
-6.304 -6.032 -0.033
-4.209 -7.178 2.624
-6.644 -4.637 3.238
Y Os Zn
2 1 1
direct
0.993 0.993 0.993
0.507 0.507 0.507
0.250 0.250 0.250
0.750 0.750 0.750
```

***

[8]
Compound: Y2ZnOs2
Source: Alexandria
Functional: PBE-GGA
Structure: optimized geometry

Structure (POSCAR):
```
Y2ZnOs2
1.0
-1.691 1.805 6.367
-6.549 -1.404 -1.341
0.621 -4.187 1.352
Y Os Zn
4 4 2
direct
0.822 0.322 0.500
0.322 0.178 0.500
0.678 0.822 0.500
0.178 0.678 0.500
0.624 0.124 0.000
0.876 0.624 0.000
0.376 0.876 0.000
0.124 0.376 0.000
0.000 0.000 0.000
0.500 0.500 0.000
```

***

[9]
Compound: Y2ZnOs
Source: Alexandria
Functional: PBE-GGA
Structure: optimized geometry

Structure (POSCAR):
```
Y2ZnOs
1.0
3.478 0.000 0.000
0.000 4.525 0.000
0.000 0.000 5.802
Y Zn Os
2 1 1
direct
0.000 0.000 0.928
0.500 0.500 0.306
0.000 0.000 0.448
0.500 0.500 0.817
```

***

[10]
Compound: Y2ZnOs
Source: Alexandria
Functional: PBE-GGA
Structure: optimized geometry

Structure (POSCAR):
```
Y2ZnOs
1.0
-0.845 -0.193 3.306
-0.071 -3.410 -0.217
7.560 -0.280 1.915
Y Zn Os
2 1 1
direct
0.000 0.000 0.925
0.500 0.500 0.325
0.000 0.000 0.553
0.500 0.500 0.697
```

***

[11]
Compound: YZn2Os2
Source: Alexandria
Functional: PBE-GGA
Structure: optimized geometry

Structure (POSCAR):
```
YZn2Os2
1.0
4.276 0.000 0.000
0.000 4.276 0.000
2.138 2.138 5.086
Y Zn Os
1 2 2
direct
0.000 0.000 0.000
0.250 0.750 0.500
0.750 0.250 0.500
0.613 0.613 0.773
0.387 0.387 0.227
```

For the energy above the lowest structure with this stoichiometry, the calculation gives 0 meV per atom.

***

[12]
Compound: Y2ZnOs
Source: Alexandria
Functional: PBE-GGA
Structure: optimized geometry

Structure (POSCAR):
```
Y2ZnOs
1.0
-4.646 2.635 0.773
-2.836 -2.164 4.050
5.126 1.629 -0.445
Zn Os Y
1 1 2
direct
0.500 0.500 0.000
0.750 0.250 0.500
0.250 0.750 0.500
0.000 0.000 0.000
```

***

[13]
Compound: Y8Zn2Os
Source: Alexandria
Functional: PBE-GGA
Structure: optimized geometry

Structure (POSCAR):
```
Y8Zn2Os
1.0
6.040 -0.352 -1.287
-2.662 7.063 -4.368
-0.400 -1.481 8.584
Y Zn Os
8 2 1
direct
0.994 0.806 0.190
0.298 0.849 0.620
0.994 0.190 0.806
0.128 0.277 0.277
0.298 0.620 0.849
0.649 0.159 0.394
0.764 0.718 0.718
0.649 0.394 0.159
0.476 0.724 0.288
0.476 0.288 0.724
0.274 0.008 0.008
```

For the energy above the lowest structure with this stoichiometry, the calculation gives 89 meV per atom.

***

[14]
Compound: Y6Zn5Os
Source: Alexandria
Functional: PBE-GGA
Structure: optimized geometry

Structure (POSCAR):
```
Y6Zn5Os
1.0
-3.409 -2.609 2.576
3.742 -5.982 -1.105
2.126 -0.078 7.622
Y Zn Os
6 5 1
direct
0.839 0.244 0.321
0.500 0.238 0.000
0.839 0.756 0.321
0.161 0.756 0.679
0.500 0.762 0.000
0.161 0.244 0.679
0.674 0.000 0.653
0.326 0.000 0.347
0.668 0.500 0.664
0.332 0.500 0.336
0.000 0.500 0.000
0.000 0.000 0.000
```

***

[15]
Compound: Y4Zn3Os
Source: Alexandria
Functional: PBE-GGA
Structure: optimized geometry

Structure (POSCAR):
```
Y4Zn3Os
1.0
-2.113 1.409 2.433
-2.710 -0.212 -2.231
-3.058 -13.148 4.962
Y Zn Os
4 3 1
direct
0.000 0.000 0.626
0.000 0.000 0.114
0.000 0.000 0.886
0.000 0.000 0.374
0.500 0.500 0.500
0.500 0.500 0.751
0.500 0.500 0.249
0.500 0.500 0.000
```

***

[16]
Compound: Y8ZnOs2
Source: Alexandria
Functional: PBE-GGA
Structure: optimized geometry

Structure (POSCAR):
```
Y8ZnOs2
1.0
-5.459 0.531 0.838
-0.285 -2.307 -7.458
1.250 -5.983 4.865
Y Os Zn
8 2 1
direct
0.412 0.672 0.939
0.587 0.334 0.068
0.587 0.068 0.334
0.802 0.626 0.626
0.198 0.380 0.380
0.000 0.245 0.761
0.412 0.939 0.672
0.000 0.761 0.245
0.500 0.689 0.317
0.500 0.317 0.689
0.003 0.003 0.003
```

***

[17]
Compound: Y4ZnOs
Source: Alexandria
Functional: PBE-GGA
Structure: optimized geometry

Structure (POSCAR):
```
Y4ZnOs
1.0
6.022 -0.249 -1.512
-2.579 7.025 -2.678
-0.218 -0.330 7.938
Y Os Zn
8 2 2
direct
0.688 0.217 0.356
0.582 0.290 0.942
0.188 0.356 0.217
0.812 0.644 0.783
0.082 0.942 0.290
0.918 0.058 0.710
0.418 0.710 0.058
0.312 0.783 0.644
0.250 0.000 0.000
0.750 0.000 0.000
0.750 0.629 0.371
0.250 0.371 0.629
```

For the energy above the lowest structure with this stoichiometry, the calculation gives 0 meV per atom.

***

[18]
Compound: Y2ZnOs
Source: Alexandria
Functional: PBE-GGA
Structure: optimized geometry

Structure (POSCAR):
```
Y2ZnOs
1.0
-1.862 0.255 -2.910
0.886 -3.239 -0.851
-5.811 -2.510 3.497
Os Y Zn
1 2 1
direct
0.500 0.500 0.750
0.000 0.000 0.521
0.000 0.000 0.979
0.500 0.500 0.250
```

***

[19]
Compound: YZn4Os
Source: Alexandria
Functional: PBE-GGA
Structure: optimized geometry

Structure (POSCAR):
```
YZn4Os
1.0
-1.849 3.696 3.010
-3.139 -1.178 3.859
1.621 0.413 4.831
Y Zn Os
1 4 1
direct
0.000 0.000 0.000
0.377 0.870 0.377
0.377 0.377 0.377
0.377 0.377 0.870
0.870 0.377 0.377
0.750 0.750 0.750
```

***

[20]
Compound: YZnOs4
Source: Alexandria
Functional: PBE-GGA
Structure: optimized geometry

Structure (POSCAR):
```
YZnOs4
1.0
0.000 3.719 3.719
3.719 0.000 3.719
3.719 3.719 0.000
Y Zn Os
1 1 4
direct
0.750 0.750 0.750
0.000 0.000 0.000
0.374 0.877 0.374
0.877 0.374 0.374
0.374 0.374 0.877
0.374 0.374 0.374
```

***

[21]
Compound: Y2ZnOs
Source: Alexandria
Functional: PBE-GGA
Structure: optimized geometry

Structure (POSCAR):
```
Y2ZnOs
1.0
-4.507 -4.157 4.866
-3.707 -3.156 -6.130
-2.106 -5.894 -0.690
Zn Os Y
2 2 4
direct
0.500 0.500 0.000
0.250 0.750 0.500
0.000 0.000 0.000
0.750 0.250 0.500
0.653 0.125 0.250
0.375 0.347 0.750
0.097 0.625 0.250
0.875 0.903 0.750
```

***

[22]
Compound: Y4ZnOs
Source: Alexandria
Functional: PBE-GGA
Structure: optimized geometry

Structure (POSCAR):
```
Y4ZnOs
1.0
-2.043 -4.071 -1.730
-0.637 -1.615 4.553
-6.259 3.046 0.215
Y Zn Os
4 1 1
direct
0.002 0.498 0.735
0.001 0.497 0.261
0.501 0.997 0.261
0.501 0.998 0.735
0.501 0.497 0.998
0.001 0.997 0.498
```

For the energy above the lowest structure with this stoichiometry, the calculation gives 137 meV per atom.

***

[23]
Compound: Y2ZnOs
Source: Alexandria
Functional: PBE-GGA
Structure: optimized geometry

Structure (POSCAR):
```
Y2ZnOs
1.0
-3.814 -4.788 0.045
-2.929 -4.242 3.300
-4.547 1.217 1.032
Zn Y Os
1 2 1
direct
0.552 0.552 0.449
0.959 0.959 0.041
0.752 0.752 0.747
0.236 0.236 0.263
```

***

[24]
Compound: Y6ZnOs2
Source: Alexandria
Functional: PBE-GGA
Structure: optimized geometry

Structure (POSCAR):
```
Y6ZnOs2
1.0
-4.970 -4.985 -4.707
5.335 -4.493 4.802
-4.397 4.633 5.560
Os Y Zn
4 12 2
direct
0.500 0.380 0.880
0.500 0.620 0.120
0.680 0.000 0.680
0.320 0.000 0.320
0.544 0.725 0.819
0.685 0.015 0.330
0.315 0.645 0.330
0.456 0.275 0.181
0.803 0.246 0.048
0.315 0.985 0.670
0.685 0.355 0.670
0.197 0.754 0.952
0.094 0.275 0.819
0.197 0.246 0.443
0.906 0.725 0.181
0.803 0.754 0.557
0.000 0.500 0.500
0.000 0.000 0.000
```

***

[25]
Compound: Y2ZnOs
Source: Alexandria
Functional: PBE-GGA
Structure: optimized geometry

Structure (POSCAR):
```
Y2ZnOs
1.0
-0.486 1.792 -3.881
-3.903 -0.338 0.333
-2.167 4.656 2.422
Y Os Zn
2 1 1
direct
0.000 0.985 0.905
0.500 0.267 0.341
0.500 0.555 0.765
0.000 0.693 0.489
```

***

[26]
Compound: Y8Zn2Os
Source: Alexandria
Functional: PBE-GGA
Structure: optimized geometry

Structure (POSCAR):
```
Y8Zn2Os
1.0
-3.446 -3.236 2.082
4.763 -4.854 0.339
1.962 6.191 6.464
Y Os Zn
8 1 2
direct
0.340 0.031 0.679
0.660 0.969 0.321
0.590 0.435 0.180
0.410 0.565 0.820
0.027 0.794 0.054
0.973 0.206 0.946
0.199 0.314 0.398
0.801 0.686 0.602
0.500 0.000 0.000
0.817 0.282 0.633
0.183 0.718 0.367
```

For the energy above the lowest structure with this stoichiometry, the calculation gives 0 meV per atom.

***

We obtain calculated formation energy values of 0.213 0.657 -0.190 0.868 0.234 0.279 0.064 -0.110 0.113 -0.019 0.081 0.006 -0.101 -0.362 -0.320 -0.131 -0.232 -0.279 -0.181 0.163 0.252 -0.095 -0.119 -0.232 -0.227 -0.190 eV/atom for the records listed above, in that order.
We obtain calculated volume values of 95.7 53.8 171.9 150.3 100.4 95.4 93.7 103.7 91.3 91.1 93.0 82.5 309.7 268.3 177.9 304.5 160.8 86.8 94.5 102.9 92.0 165.3 88.3 232.2 90.2 294.1 Å³/f.u. for the records listed above, in that order.